#A
Here is a relaxed structure of Y2RuCl from the Alexandria database. Energies are from GGA-PBE.

a b c (Å): 4.4170 5.6258 7.0733
angles (deg): 90.00 90.00 90.00
Space group Immm (No. 71)
Asymmetric unit:
Y 0.0000 0.0000 0.2458 [4 per cell]
Ru 0.0000 0.5000 0.5000 [2 per cell]
Cl 0.0000 0.5000 0.0000 [2 per cell]

Computed properties:
DOS(E_F), states/eV/atom: 0.539

---

#B
Here is a relaxed structure of Y2RuCl from the Alexandria database. Energies are from GGA-PBE.

a b c (Å): 7.5601 7.4373 3.3308
angles (deg): 90.00 108.06 90.00
Space group C2/m (No. 12)
Asymmetric unit:
Y 0.2500 0.2500 0.0000 [4 per cell]
Ru 0.0000 0.0000 0.5000 [2 per cell]
Cl 0.0000 0.5000 0.5000 [2 per cell]

Computed properties:
DOS(E_F), states/eV/atom: 0.614

---

Most stable structure: #B